Density functional theory data (PBE-GGA) for a geometry-optimized MgSiTe2N structure.

Cell and atoms, written as CIF:
```
data_MgSiTe2N
_chemical_formula_sum 'Mg1 Si1 Te2 N1'
_symmetry_space_group_name_H-M 'P 4/m m m'
_symmetry_Int_Tables_number 123
_symmetry_space_group_name_Hall '-P 4 2'
_cell_length_a 5.7400
_cell_length_b 5.7400
_cell_length_c 3.2927
_cell_angle_alpha 90.00
_cell_angle_beta 90.00
_cell_angle_gamma 90.00
loop_
_atom_site_label
_atom_site_type_symbol
_atom_site_fract_x
_atom_site_fract_y
_atom_site_fract_z
_atom_site_occupancy
Mg1 Mg 0.0000 0.0000 0.0000 1
Si1 Si 0.5000 0.5000 0.5000 1
Te1 Te 0.0000 0.5000 0.5000 1
N1 N 0.5000 0.5000 0.0000 1
```

* raw formation energy: 0.02 eV per atom
* volume: 108 Å³ per cell
* DOS(E_F): 2.17 states/eV per cell
* calculated density: 4.9 g cm⁻³
* calculated total energy: -4.301 eV/atom